# 1
BeZnPd2 | PBEsol | optimized geometry

Symmetry: Fm-3m, No. 225
Excess energy over the best structure of this formula in the dataset, meV/atom: 0
Crystal system: cubic
Total magnetization, μB per cell: 0.000
E_form, meV/atom: -520

Cell: 4.1307 4.1307 4.1307 Å, 60.00 60.00 60.00°
With the nearest neighbours (Å) after each atom.
Sites, in units of the cell vectors:
Be 0.0000 0.0000 0.0000  8 Pd 2.53
Zn 0.5000 0.5000 0.5000  8 Pd 2.53
Pd 0.2500 0.2500 0.2500  4 Be 2.53, 4 Zn 2.53
Pd 0.7500 0.7500 0.7500  4 Be 2.53, 4 Zn 2.53


# 2
Be2ZnPd2 | PBEsol | optimized geometry

Symmetry: I4/mmm, No. 139
Excess energy over the best structure of this formula in the dataset, meV/atom: 186
Crystal system: tetragonal
Total magnetization, μB per cell: 0.000
E_form, meV/atom: -308

Cell: 6.8498 6.8498 6.8498 Å, 154.24 154.24 36.75°
With the nearest neighbours (Å) after each atom.
Sites, in units of the cell vectors:
Be 0.2500 0.7500 0.5000  4 Be 2.16, 4 Pd 2.34
Be 0.7500 0.2500 0.5000  4 Be 2.16, 4 Pd 2.34
Zn 0.0000 0.0000 0.0000  8 Pd 2.61
Pd 0.3867 0.3867 0.0000  4 Be 2.34, 4 Zn 2.61
Pd 0.6133 0.6133 0.0000  4 Be 2.34, 4 Zn 2.61


# 3
Zr6Be15Pd8 | PBEsol | optimized geometry

Symmetry: Fm-3m, No. 225
Crystal system: cubic
Total magnetization, μB per cell: 0.002
E_form, meV/atom: -496

Cell: 8.0185 8.0185 8.0185 Å, 60.00 60.00 60.00°
With the nearest neighbours (Å) after each atom.
Sites, in units of the cell vectors:
Zr 0.1994 0.1994 0.8006  8 Be 2.82-2.89, 4 Pd 2.83
Zr 0.1994 0.8006 0.1994  8 Be 2.82-2.89, 4 Pd 2.83
Zr 0.1994 0.8006 0.8006  8 Be 2.82-2.89, 4 Pd 2.83
Zr 0.8006 0.1994 0.1994  8 Be 2.82-2.89, 4 Pd 2.83
Zr 0.8006 0.1994 0.8006  8 Be 2.82-2.89, 4 Pd 2.83
Zr 0.8006 0.8006 0.1994  8 Be 2.82-2.89, 4 Pd 2.83
Be 0.0000 0.0000 0.5000  4 Be 2.32, 4 Pd 2.46
Be 0.0000 0.5000 0.0000  4 Be 2.32, 4 Pd 2.46
Be 0.0000 0.5000 0.5000  4 Be 2.32, 4 Pd 2.46
Be 0.1748 0.1748 0.1748  6 Be 2.32-2.41, 3 Pd 2.41
Be 0.1748 0.1748 0.4755  6 Be 2.32-2.41, 3 Pd 2.41
Be 0.1748 0.4755 0.1748  6 Be 2.32-2.41, 3 Pd 2.41
Be 0.4755 0.1748 0.1748  6 Be 2.32-2.41, 3 Pd 2.41
Be 0.5000 0.0000 0.0000  4 Be 2.32, 4 Pd 2.46
Be 0.5000 0.0000 0.5000  4 Be 2.32, 4 Pd 2.46
Be 0.5000 0.5000 0.0000  4 Be 2.32, 4 Pd 2.46
Be 0.5000 0.5000 0.5000  8 Pd 2.45
Be 0.5245 0.8252 0.8252  6 Be 2.32-2.41, 3 Pd 2.41
Be 0.8252 0.5245 0.8252  6 Be 2.32-2.41, 3 Pd 2.41
Be 0.8252 0.8252 0.5245  6 Be 2.32-2.41, 3 Pd 2.41
Be 0.8252 0.8252 0.8252  6 Be 2.32-2.41, 3 Pd 2.41
Pd 0.1252 0.6249 0.6249  7 Be 2.41-2.46
Pd 0.3751 0.3751 0.3751  7 Be 2.41-2.46
Pd 0.3751 0.3751 0.8748  7 Be 2.41-2.46
Pd 0.3751 0.8748 0.3751  7 Be 2.41-2.46
Pd 0.6249 0.1252 0.6249  7 Be 2.41-2.46
Pd 0.6249 0.6249 0.1252  7 Be 2.41-2.46
Pd 0.6249 0.6249 0.6249  7 Be 2.41-2.46
Pd 0.8748 0.3751 0.3751  7 Be 2.41-2.46


# 4
Be5Pt3 | PBEsol | optimized geometry

Symmetry: Cmmm, No. 65
Crystal system: orthorhombic
Total magnetization, μB per cell: 0.000
E_form, meV/atom: -607

Cell: 4.7848 4.7848 3.7473 Å, 90.00 90.00 91.88°
With the nearest neighbours (Å) after each atom.
Sites, in units of the cell vectors:
Be 0.0000 0.0000 0.0000  4 Pt 2.34, 4 Be 2.39
Be 0.0000 0.5000 0.0000  6 Be 2.39-2.55, 6 Pt 2.39-2.53
Be 0.2857 0.2857 0.5000  6 Pt 2.35-2.49, 4 Be 2.55
Be 0.5000 0.0000 0.0000  6 Be 2.39-2.55, 6 Pt 2.39-2.53
Be 0.7143 0.7143 0.5000  6 Pt 2.35-2.49, 4 Be 2.55
Pt 0.2033 0.7967 0.5000  10 Be 2.34-2.53
Pt 0.5000 0.5000 0.0000  8 Be 2.35-2.39
Pt 0.7967 0.2033 0.5000  10 Be 2.34-2.53


# 5
Be3Pt2 | PBEsol | optimized geometry

Symmetry: P-3m1, No. 164
Crystal system: trigonal
Total magnetization, μB per cell: 0.000
E_form, meV/atom: -413

Cell: 3.8723 3.8723 4.7241 Å, 90.00 90.00 120.00°
With the nearest neighbours (Å) after each atom.
Sites, in units of the cell vectors:
Be 0.0000 0.0000 0.0000  6 Pt 2.37
Be 0.3333 0.6667 0.3550  5 Pt 2.25-2.48
Be 0.6667 0.3333 0.6450  5 Pt 2.25-2.48
Pt 0.3333 0.6667 0.8305  8 Be 2.25-2.48
Pt 0.6667 0.3333 0.1695  8 Be 2.25-2.48


# 6
Be5Pt | PBEsol | optimized geometry

Symmetry: F-43m, No. 216
Crystal system: cubic
Total magnetization, μB per cell: 0.000
E_form, meV/atom: -475

Cell: 4.2013 4.2013 4.2013 Å, 60.00 60.00 60.00°
With the nearest neighbours (Å) after each atom.
Sites, in units of the cell vectors:
Be 0.0000 0.0000 0.0000  12 Be 2.46, 4 Pt 2.57
Be 0.3746 0.3746 0.3746  6 Be 2.09-2.11
Be 0.3746 0.3746 0.8762  6 Be 2.09-2.11
Be 0.3746 0.8762 0.3746  6 Be 2.09-2.11
Be 0.8762 0.3746 0.3746  6 Be 2.09-2.11
Pt 0.7500 0.7500 0.7500  16 Be 2.46-2.57


# 7
BePt4 | PBEsol | optimized geometry

Symmetry: Im-3m, No. 229
Crystal system: cubic
Total magnetization, μB per cell: 0.001
E_form, meV/atom: 69

Cell: 4.6200 4.6200 4.6200 Å, 109.47 109.47 109.47°
With the nearest neighbours (Å) after each atom.
Sites, in units of the cell vectors:
Be 0.0000 0.0000 0.0000  8 Pt 2.31
Pt 0.0000 0.0000 0.5000  2 Be 2.31
Pt 0.0000 0.5000 0.0000  2 Be 2.31
Pt 0.5000 0.0000 0.0000  2 Be 2.31
Pt 0.5000 0.5000 0.5000  2 Be 2.31


# 8
RbBe2TcPt | PBEsol | optimized geometry

Symmetry: P4/mmm, No. 123
Crystal system: tetragonal
Total magnetization, μB per cell: 0.000
E_form, meV/atom: 862

Cell: 4.5872 4.5872 4.7538 Å, 90.00 90.00 90.00°
With the nearest neighbours (Å) after each atom.
Sites, in units of the cell vectors:
Rb 0.0000 0.0000 0.0000  4 Pt 3.24, 8 Be 3.30
Be 0.0000 0.5000 0.5000  2 Tc 2.29
Be 0.5000 0.0000 0.5000  2 Tc 2.29
Tc 0.5000 0.5000 0.5000  4 Be 2.29, 2 Pt 2.38
Pt 0.5000 0.5000 0.0000  2 Tc 2.38